No. 1
Below is NpSbPtRh after structural relaxation, with properties calculated at the GGA-PBE level.

Structure (POSCAR):
```
NpSbPtRh
1.0
0.0000 3.3947 3.3947
3.3947 0.0000 3.3947
3.3947 3.3947 0.0000
Np Sb Pt Rh
1 1 1 1
Direct
0.0000 0.0000 0.0000 Np
0.5000 0.5000 0.5000 Sb
0.2500 0.2500 0.2500 Pt
0.7500 0.7500 0.7500 Rh
```

Calculated values
Space group: F-43m, No. 216
Formation energy without anion corrections (kJ/mol of atoms): -34.8
E_tot (eV per cell): -31.90


No. 2
Below is Np2SbPtRh4 after structural relaxation, with properties calculated at the GGA-PBE level.

Structure (POSCAR):
```
Np2SbPtRh4
1.0
2.0848 -7.5877 0.0000
2.0848 7.5877 0.0000
0.0000 0.0000 9.5342
Np Sb Pt Rh
4 2 2 8
Direct
0.1189 0.8811 0.5492 Np
0.1189 0.8811 0.9508 Np
0.8811 0.1189 0.0492 Np
0.8811 0.1189 0.4508 Np
0.3531 0.6469 0.7500 Sb
0.6469 0.3531 0.2500 Sb
0.4038 0.5962 0.2500 Pt
0.5962 0.4038 0.7500 Pt
0.0242 0.9758 0.2500 Rh
0.2430 0.7570 0.1098 Rh
0.2430 0.7570 0.3902 Rh
0.5000 0.5000 0.0000 Rh
0.5000 0.5000 0.5000 Rh
0.7570 0.2430 0.6098 Rh
0.7570 0.2430 0.8902 Rh
0.9758 0.0242 0.7500 Rh
```

Calculated values
Space group: Cmcm, No. 63
Formation energy without anion corrections (kJ/mol of atoms): -29.6
E_tot (eV per cell): -135.81


No. 3
Below is NpSi2PtRh2 after structural relaxation, with properties calculated at the GGA-PBE level.

Structure (POSCAR):
```
NpSi2PtRh2
1.0
4.5276 0.0000 0.0000
0.0000 4.5276 0.0000
0.0000 0.0000 5.5128
Np Si Pt Rh
1 2 1 2
Direct
0.0000 0.0000 0.0000 Np
0.0000 0.5000 0.5000 Si
0.5000 0.0000 0.5000 Si
0.0000 0.0000 0.5000 Pt
0.5000 0.5000 0.2476 Rh
0.5000 0.5000 0.7524 Rh
```

Calculated values
Space group: P4/mmm, No. 123
Formation energy without anion corrections (kJ/mol of atoms): -7.4
E_tot (eV per cell): -44.99


No. 4
Below is Np2Si4Pt3Rh after structural relaxation, with properties calculated at the GGA-PBE level.

Structure (POSCAR):
```
Np2Si4Pt3Rh
1.0
4.1528 0.0000 0.0000
0.0000 4.1528 0.0000
0.0000 0.0000 10.0233
Np Si Pt Rh
2 4 3 1
Direct
0.0000 0.5000 0.2468 Np
0.5000 0.0000 0.7532 Np
0.0000 0.0000 0.0000 Si
0.0000 0.5000 0.6343 Si
0.5000 0.0000 0.3657 Si
0.5000 0.5000 0.0000 Si
0.0000 0.5000 0.8751 Pt
0.5000 0.0000 0.1249 Pt
0.5000 0.5000 0.5000 Pt
0.0000 0.0000 0.5000 Rh
```

Calculated values
Space group: P-4m2, No. 115
Formation energy without anion corrections (kJ/mol of atoms): -73.7
E_tot (eV per cell): -80.68